KLi2Cu PBE relaxed; volume = 100.3 Å³ per cell; space group = I-4m2; spin magnetization = 0.00 Bohr magnetons per cell; E = -7.60 eV for the cell shown
1.0
-3.0469 -4.5537 -1.3569
2.9879 -3.0841 -3.6635
1.3968 2.1541 5.0269
Cu K Li
1 1 2
Cartesian
-0.0295 -3.8189 -2.5102
-0.8398 -3.1093 0.5799
2.1776 -2.3745 -0.5734
0.0000 0.0000 0.0000

***

Zr2Zn4Pd PBE relaxed; volume = 248.9 Å³ per cell; space group = Fmmm; spin magnetization = 1.29 Bohr magnetons per cell; E = -55.54 eV for the cell shown
1.0
9.4525 0.0000 0.0000
0.0000 4.7993 -2.2208
0.0000 -0.3085 5.6295
Zr Zn Pd
4 8 2
Cartesian
0.0000 1.4240 3.0774
4.7263 3.8237 1.9670
0.0000 3.0668 0.3313
4.7263 0.6671 1.4417
2.3631 -0.1521 2.8137
7.0894 4.6428 0.5950
7.0895 1.2020 -0.5562
7.0894 2.2432 1.7054
2.3631 2.2476 1.7033
7.0893 3.6017 -1.6666
2.3632 1.1976 -0.5542
2.3630 3.5973 -1.6646
4.7263 2.3997 -1.1104
0.0000 0.0000 0.0000

***

CePm3Zn4 PBE relaxed; volume = 194.5 Å³ per cell; space group = P4/mmm; spin magnetization = 0.69 Bohr magnetons per cell; E = -27.51 eV for the cell shown
1.0
3.6429 0.0000 0.0000
0.0000 3.6429 0.0000
0.0000 0.0000 14.6591
Pm Zn Ce
3 4 1
Cartesian
1.8215 1.8215 7.3295
1.8215 1.8215 11.0039
1.8215 1.8215 3.6551
0.0000 0.0000 12.8406
0.0000 0.0000 9.1601
0.0000 0.0000 1.8184
0.0000 0.0000 5.4990
1.8215 1.8215 0.0000

***

Nb2FeNi PBE relaxed; volume = 122.5 Å³ per cell; space group = I-42d; spin magnetization = 0.00 Bohr magnetons per cell; E = -65.95 eV for the cell shown
1.0
-0.1916 -6.6274 1.3195
3.5728 -1.2198 -5.6078
3.9641 -3.7102 -0.7421
Nb Ni Fe
4 2 2
Cartesian
4.2858 -5.7406 -2.2349
5.8869 -9.6336 -4.2385
1.3203 -5.1391 -0.0783
3.1977 -2.6014 -3.5089
2.7316 -7.1306 -0.7833
0.0000 0.0000 0.0000
1.6906 -3.9236 -2.1441
4.6137 -4.4268 -4.2470

***

Li4Be PBE relaxed; volume = 99.4 Å³ per cell; space group = Im-3m; spin magnetization = 0.52 Bohr magnetons per cell; E = -9.50 eV for the cell shown
1.0
2.3851 -2.5956 3.6218
-4.2226 -2.4430 -1.3209
3.0224 0.4386 -4.0269
Li Be
4 1
Cartesian
1.1925 -1.2978 1.8109
1.5112 0.2193 -2.0134
0.5924 -2.3000 -0.8630
-2.1113 -1.2215 -0.6605
0.0000 0.0000 0.0000

***

TbEr3S4 PBE relaxed; volume = 165.1 Å³ per cell; space group = Cmmm; spin magnetization = 0.00 Bohr magnetons per cell; E_form (uncorrected) = -1.97 eV/atom; E = -50.55 eV for the cell shown
1.0
-3.2431 -1.8546 0.9118
0.7148 -3.9220 -5.4349
3.1228 -2.8910 5.2270
S Er Tb
4 3 1
Cartesian
-0.2999 -4.5895 -2.2920
0.8944 -4.0781 2.9959
2.8625 -5.0819 -0.1551
0.9751 -1.7311 -0.0528
0.2973 -4.3338 0.3519
1.5614 -1.4455 2.6135
0.3574 -1.9610 -2.7175
-1.6215 -0.9273 0.4559

***

Re3Pd PBE relaxed; volume = 119.2 Å³ per cell; space group = P6_3/mmc; spin magnetization = 0.00 Bohr magnetons per cell; E = -85.48 eV for the cell shown
1.0
-2.3532 5.0549 0.0679
-2.1554 -4.1204 3.0774
2.6037 1.1667 3.3857
Re Pd
6 2
Cartesian
-1.5360 -2.3653 3.4438
-1.4929 2.3176 4.6920
-2.7632 0.2708 3.4792
-0.4120 -0.2165 1.8390
0.8583 1.8303 3.0518
-0.3689 4.4664 3.0872
-0.2685 -0.1870 4.6135
-1.6363 2.2881 1.9175

***

Li2AsHPd6 PBE relaxed; volume = 165.6 Å³ per cell; space group = P4/mmm; spin magnetization = 0.00 Bohr magnetons per cell; E = -44.32 eV for the cell shown
1.0
-3.4973 -2.4332 -1.5183
2.7732 -2.2583 -2.7688
1.3087 -5.4964 5.7937
Li Pd As H
2 6 1 1
Cartesian
0.3582 -1.5045 1.5859
0.9504 -3.9918 4.2078
-1.7487 -1.2166 -0.7592
2.0410 -3.8774 1.5125
0.0162 -3.9346 -0.4688
-1.0943 -3.9648 2.1377
0.5683 -6.2533 1.9754
1.3866 -1.1292 -1.3844
-0.3621 -2.3458 -2.1436
0.2923 -5.0940 0.7533